Entry 1:
Entry from the Alexandria database: crystalline Li2Tl2Pb at its relaxed geometry (PBE-GGA).

Lattice parameters (Å, degrees): 11.2351 11.2351 3.3254 90.00 90.00 162.93
Closest atoms and distances in Å follow each position.
Fractional coordinates of all 5 atoms:
Li  0.0919  0.9081  0.0000  4 Pb 3.12, 4 Tl 3.15, 4 Li 3.33-3.34
Li  0.9081  0.0919  0.0000  4 Pb 3.12, 4 Tl 3.15, 4 Li 3.33-3.34
Tl  0.3137  0.6863  0.5000  4 Li 3.15, 6 Tl 3.29-3.34
Tl  0.6863  0.3137  0.5000  4 Li 3.15, 6 Tl 3.29-3.34
Pb  0.5000  0.5000  0.5000  8 Li 3.12, 4 Pb 3.33-3.34

relative energy among the computed polymorphs: 0.06 kcal/mol of atoms
space group: Cmmm



Entry 2:
Entry from the Alexandria database: crystalline RbTe2P2 at its relaxed geometry (PBE-GGA).

Lattice parameters (Å, degrees): 7.7757 7.7757 7.7757 145.01 145.01 50.31
Closest atoms and distances in Å follow each position.
Fractional coordinates of all 5 atoms:
Rb  0.0000  0.0000  0.0000  8 P 3.45
Te  0.2500  0.7500  0.5000  4 Te 3.31, 4 P 3.45
Te  0.7500  0.2500  0.5000  4 Te 3.31, 4 P 3.45
P  0.4299  0.4299  0.0000  1 P 1.97
P  0.5701  0.5701  0.0000  1 P 1.97

space group: I4/mmm
formation energy from raw total energies: 0.071 eV per formula unit



Entry 3:
Entry from the Alexandria database: crystalline Sc3GaH3 at its relaxed geometry (PBE-GGA).

Lattice parameters (Å, degrees): 7.5378 7.5378 7.5378 45.86 45.86 45.86
Closest atoms and distances in Å follow each position.
Fractional coordinates of all 14 atoms:
Sc  0.0553  0.3991  0.7388  4 H 2.01-2.06
Sc  0.2612  0.9447  0.6009  4 H 2.01-2.06
Sc  0.3991  0.7388  0.0553  4 H 2.01-2.06
Sc  0.6009  0.2612  0.9447  4 H 2.01-2.06
Sc  0.7388  0.0553  0.3991  4 H 2.01-2.06
Sc  0.9447  0.6009  0.2612  4 H 2.01-2.06
Ga  0.1665  0.1665  0.1665  6 Sc 2.83
Ga  0.8335  0.8335  0.8335  6 Sc 2.83
H  0.0403  0.7005  0.3676  4 Sc 2.01-2.06
H  0.2995  0.6324  0.9597  4 Sc 2.01-2.06
H  0.3676  0.0403  0.7005  4 Sc 2.01-2.06
H  0.6324  0.9597  0.2995  4 Sc 2.01-2.06
H  0.7005  0.3676  0.0403  4 Sc 2.01-2.06
H  0.9597  0.2995  0.6324  4 Sc 2.01-2.06

electronic total energy: -5.09 eV per atom
space group: R-3